# V2IrRh2 | Alexandria | PBE | relaxed
# * offset from the most stable computed form: 8.32 eV/f.u.
data_V2IrRh2
_chemical_formula_sum 'V2 Ir1 Rh2'
_cell_length_a 4.7655
_cell_length_b 4.7655
_cell_length_c 4.4087
_cell_angle_alpha 90.00
_cell_angle_beta 90.00
_cell_angle_gamma 90.00
_symmetry_space_group_name_H-M 'P 4/m m m'
_symmetry_Int_Tables_number 123
_symmetry_space_group_name_Hall '-P 4 2'
loop_
_atom_site_label
_atom_site_type_symbol
_atom_site_fract_x
_atom_site_fract_y
_atom_site_fract_z
_atom_site_occupancy
V1 V 0.0000 0.0000 0.0000 1
V2 V 0.5000 0.5000 0.0000 1
Ir1 Ir 0.0000 0.0000 0.5000 1
Rh1 Rh 0.0000 0.5000 0.5000 1